Version one
La3NdMg: relaxed, PBE.

Results
As for the density of states at the Fermi level: 1.401 states/eV per atom.

```
data_La3NdMg
_cell_length_a 3.835
_cell_length_b 9.210
_cell_length_c 10.219
_cell_angle_alpha 76.46
_cell_angle_beta 79.18
_cell_angle_gamma 89.99
_space_group_name_H-M_alt 'P -1'
_space_group_IT_number 2
_space_group_name_Hall '-P 1'
loop_
_atom_site_label
_atom_site_type_symbol
_atom_site_fract_x
_atom_site_fract_y
_atom_site_fract_z
_atom_site_occupancy
La1 La 0.004 0.273 0.494 1
La2 La 0.187 0.372 0.123 1
La3 La 0.203 0.832 0.095 1
Nd1 Nd 0.403 0.959 0.696 1
Mg1 Mg 0.402 0.437 0.697 1
```

Version two
La3NdMg: relaxed, PBE.

Results
As for the density of states at the Fermi level: 1.293 states/eV per atom.

```
data_La3NdMg
_cell_length_a 3.871
_cell_length_b 9.668
_cell_length_c 10.036
_cell_angle_alpha 90.00
_cell_angle_beta 101.09
_cell_angle_gamma 90.00
_space_group_name_H-M_alt 'P 1 21/m 1'
_space_group_IT_number 11
_space_group_name_Hall '-P 2yb'
loop_
_atom_site_label
_atom_site_type_symbol
_atom_site_fract_x
_atom_site_fract_y
_atom_site_fract_z
_atom_site_occupancy
La1 La 0.096 0.003 0.192 1
La2 La 0.302 0.250 0.607 1
Nd1 Nd 0.493 0.250 0.985 1
Mg1 Mg 0.334 0.750 0.667 1
```

Name the least stable of them. version two.